i:
Crystalline Tb4PmTl2 at its relaxed geometry. Source: Alexandria, functional PBE-GGA.

## Properties
Crystal system   trigonal

abc: 10.7847 10.7847 10.7847
angles: 27.65 27.65 27.65
Last column: nearest neighbours and their distance in Å.
Positions (direct):
Tb1 0.1102 0.1102 0.1102  3 Tl 3.29, 3 Pm 3.45
Tb2 0.2947 0.2947 0.2947  4 Tl 3.09-3.22
Tb3 0.7053 0.7053 0.7053  4 Tl 3.09-3.22
Tb4 0.8898 0.8898 0.8898  3 Tl 3.29, 3 Pm 3.45
Pm1 0.5000 0.5000 0.5000  2 Tl 3.16, 6 Tb 3.45
Tl1 0.3984 0.3984 0.3984  7 Tb 3.09-3.29, 1 Pm 3.16
Tl2 0.6016 0.6016 0.6016  7 Tb 3.09-3.29, 1 Pm 3.16

=====

ii:
Crystalline Tb4PmTl2 at its relaxed geometry. Source: Alexandria, functional PBE-GGA.

## Properties
Crystal system   tetragonal

abc: 7.8345 7.8345 3.4829
angles: 90.00 90.00 90.00
Last column: nearest neighbours and their distance in Å.
Positions (direct):
Tb1 0.2096 0.2096 0.0000  1 Pm 3.22, 4 Tb 3.28-3.48, 4 Tl 3.30
Tb2 0.2096 0.7904 0.0000  1 Pm 3.22, 4 Tb 3.28-3.48, 4 Tl 3.30
Tb3 0.7904 0.2096 0.0000  1 Pm 3.22, 4 Tb 3.28-3.48, 4 Tl 3.30
Tb4 0.7904 0.7904 0.0000  1 Pm 3.22, 4 Tb 3.28-3.48, 4 Tl 3.30
Pm1 0.5000 0.5000 0.0000  4 Tb 3.22, 2 Pm 3.48
Tl1 0.0000 0.5000 0.5000  8 Tb 3.30, 2 Tl 3.48
Tl2 0.5000 0.0000 0.5000  8 Tb 3.30, 2 Tl 3.48

=====

On energetic grounds, ii is preferred over the next structure by 20 meV per atom.